Entry 1:
## GdLu2 (PBE-GGA)

Data for a geometry-optimized GdLu2 structure.

Structure (extended XYZ):
```
3
Lattice="-1.031 2.046 -2.647 -1.982 -2.605 -1.241 -4.212 2.684 6.031" Properties=species:S:1:pos:R:3 pbc="T T T"
Gd 0.000 0.000 0.000
Lu -3.440 0.533 -0.562
Lu -3.785 1.591 2.705
```

## Properties
The calculation puts the total magnetization at 2.445 μB/atom. As for the formation energy from the elements: 33 meV/atom. The calculation puts the final energy at -7.674 eV per atom.

***

Entry 2:
## Gd6Lu (PBE-GGA)

Data for a geometry-optimized Gd6Lu structure.

Structure (extended XYZ):
```
7
Lattice="-3.605 5.648 -1.635 -4.142 -4.548 3.120 5.152 1.713 4.254" Properties=species:S:1:pos:R:3 pbc="T T T"
Gd -1.432 -1.143 4.058
Gd -3.621 -0.159 2.586
Gd 0.892 0.422 4.341
Gd -1.163 3.955 1.680
Gd 1.026 2.971 3.153
Gd -3.487 2.390 1.397
Lu 0.000 0.000 0.000
```

## Properties
The calculation puts the total magnetization at 6.171 μB/atom. As for the formation energy from the elements: 1386 meV/atom. The calculation puts the final energy at -11.329 eV per atom.